A plane-wave DFT calculation with PBE+U was carried out for a relaxed structure of CsCrClO3.

M_tot: 0.00 μB/cell
Density of states at the Fermi level: 0.000 states/eV per atom
Total DFT energy (no corrections): -5.580 eV per atom

Cell: 6.1798 9.0760 10.2158 Å, 90.00 90.00 90.00°
Positions (direct):
Cs1 0.2500 0.3845 0.6984
Cs2 0.2500 0.1155 0.1984
Cs3 0.7500 0.6155 0.3016
Cs4 0.7500 0.8845 0.8016
O1 0.0339 0.6767 0.5645
O2 0.7500 0.2922 0.1364
O3 0.7500 0.2078 0.6364
O4 0.2500 0.7078 0.8636
O5 0.5339 0.3233 0.4355
O6 0.9661 0.1767 0.9355
O7 0.4661 0.6767 0.5645
O8 0.9661 0.3233 0.4355
O9 0.0339 0.8233 0.0645
O10 0.5339 0.1767 0.9355
O11 0.2500 0.7922 0.3636
O12 0.4661 0.8233 0.0645
Cr1 0.2500 0.7668 0.5209
Cr2 0.7500 0.2332 0.4791
Cr3 0.7500 0.2668 0.9791
Cr4 0.2500 0.7332 0.0209
Cl1 0.2500 0.5177 0.1185
Cl2 0.7500 0.0177 0.3815
Cl3 0.7500 0.4823 0.8815
Cl4 0.2500 0.9823 0.6185